# 1
A plane-wave DFT calculation with meta-GGA SCAN was carried out for NiH2Pt2 at its PBEsol-relaxed geometry.

Unit cell a=3.6627 b=5.1794 c=5.1794 alpha=90.00 beta=90.00 gamma=90.00
Atoms (fractional coordinates):
Pt (0.5000, 0.8155, 0.3155)
H (0.0000, 0.8164, 0.3164)
Pt (0.5000, 0.1845, 0.6845)
Pt (0.5000, 0.3155, 0.1845)
Ni (0.0000, 0.0000, 0.0000)
H (0.0000, 0.6836, 0.8164)
Pt (0.5000, 0.6845, 0.8155)
Ni (0.0000, 0.5000, 0.5000)
H (0.0000, 0.3164, 0.1836)
H (0.0000, 0.1836, 0.6836)

# 2
A plane-wave DFT calculation with meta-GGA SCAN was carried out for CaCrMo2 at its PBEsol-relaxed geometry.

Unit cell a=3.8026 b=3.8026 c=5.4478 alpha=110.43 beta=110.43 gamma=90.00
Atoms (fractional coordinates):
Ca (0.0000, 0.0000, 0.0000)
Mo (0.2500, 0.7500, 0.5000)
Mo (0.7500, 0.2500, 0.5000)
Cr (0.5000, 0.5000, 0.0000)

Properties
Formation energy: 0.769 eV per atom
Energy relative to the lowest polymorph listed for this composition: 144.2 meV/atom

# 3
A plane-wave DFT calculation with meta-GGA SCAN was carried out for Y2CoRu at its PBEsol-relaxed geometry.

Unit cell a=3.3223 b=4.6932 c=4.6932 alpha=90.01 beta=90.01 gamma=90.01
Atoms (fractional coordinates):
Y (0.0000, 0.0000, 0.5000)
Co (0.5000, 0.5000, 0.5000)
Ru (0.5000, 0.0000, 0.0000)
Y (0.0000, 0.5000, 0.0000)

Properties
Formation energy: -0.255 eV per atom

# 4
A plane-wave DFT calculation with meta-GGA SCAN was carried out for Tl2NiMo at its PBEsol-relaxed geometry.

Unit cell a=3.1161 b=3.1161 c=7.0755 alpha=90.00 beta=90.00 gamma=90.00
Atoms (fractional coordinates):
Ni (0.5000, 0.5000, 0.5000)
Tl (0.0000, 0.0000, 0.2710)
Tl (0.0000, 0.0000, 0.7290)
Mo (0.5000, 0.5000, 0.0000)

Properties
Formation energy: 0.708 eV per atom
Energy relative to the lowest polymorph listed for this composition: 50.6 meV/atom

# 5
A plane-wave DFT calculation with meta-GGA SCAN was carried out for Y5Cu at its PBEsol-relaxed geometry.

Unit cell a=3.4625 b=3.4625 c=13.6198 alpha=90.00 beta=90.00 gamma=90.00
Atoms (fractional coordinates):
Y (0.5000, 0.5000, 0.3164)
Y (0.0000, 0.0000, 0.5000)
Y (0.5000, 0.5000, 0.6836)
Cu (0.5000, 0.5000, 0.0000)
Y (0.0000, 0.0000, 0.1231)
Y (0.0000, 0.0000, 0.8769)

Properties
Formation energy: -0.048 eV per atom
Energy relative to the lowest polymorph listed for this composition: 0.0 meV/atom

# 6
A plane-wave DFT calculation with meta-GGA SCAN was carried out for AlPS2Cl at its PBEsol-relaxed geometry.

Unit cell a=4.4149 b=4.4149 c=4.9969 alpha=90.00 beta=90.00 gamma=90.00
Atoms (fractional coordinates):
P (0.0000, 0.0000, 0.5000)
S (0.0000, 0.5000, 0.0000)
S (0.5000, 0.0000, 0.0000)
Al (0.0000, 0.0000, 0.0000)
Cl (0.5000, 0.5000, 0.5000)

Properties
Formation energy without anion corrections: 0.34 eV per atom

# 7
A plane-wave DFT calculation with meta-GGA SCAN was carried out for Rb3SbSe4 at its PBEsol-relaxed geometry.

Unit cell a=9.7375 b=10.3075 c=11.3780 alpha=90.00 beta=90.00 gamma=90.00
Atoms (fractional coordinates):
Rb (0.9310, 0.1939, 0.4552)
Rb (0.0690, 0.8061, 0.9552)
Sb (0.7706, 0.9772, 0.7500)
Rb (0.6443, 0.9183, 0.2500)
Rb (0.5690, 0.6939, 0.5448)
Se (0.8636, 0.5277, 0.4329)
Se (0.9945, 0.0988, 0.7500)
Rb (0.3557, 0.0817, 0.7500)
Se (0.1364, 0.4723, 0.5671)
Se (0.6364, 0.0277, 0.9329)
Rb (0.5690, 0.6939, 0.9552)
Rb (0.9310, 0.1939, 0.0448)
Se (0.1364, 0.4723, 0.9329)
Sb (0.2294, 0.0228, 0.2500)
Se (0.8636, 0.5277, 0.0671)
Sb (0.2706, 0.5228, 0.7500)
Rb (0.4310, 0.3061, 0.4552)
Se (0.0055, 0.9012, 0.2500)
Sb (0.7294, 0.4772, 0.2500)
Se (0.8248, 0.7409, 0.7500)
Se (0.6364, 0.0277, 0.5671)
Rb (0.4310, 0.3061, 0.0448)
Se (0.6752, 0.2409, 0.2500)
Se (0.5055, 0.5988, 0.2500)
Rb (0.8557, 0.4183, 0.7500)
Rb (0.1443, 0.5817, 0.2500)
Se (0.4945, 0.4012, 0.7500)
Se (0.3636, 0.9723, 0.0671)
Rb (0.0690, 0.8061, 0.5448)
Se (0.3636, 0.9723, 0.4329)
Se (0.3248, 0.7591, 0.7500)
Se (0.1752, 0.2591, 0.2500)

Properties
Formation energy without anion corrections: -1.00 eV per atom

# 8
A plane-wave DFT calculation with meta-GGA SCAN was carried out for NbAgF3 at its PBEsol-relaxed geometry.

Unit cell a=4.3035 b=4.3035 c=4.3035 alpha=90.00 beta=90.00 gamma=90.00
Atoms (fractional coordinates):
Ag (0.0000, 0.0000, 0.0000)
F (0.0000, 0.5000, 0.0000)
Nb (0.5000, 0.5000, 0.5000)
F (0.0000, 0.0000, 0.5000)
F (0.5000, 0.0000, 0.0000)

Properties
Formation energy without anion corrections: -0.65 eV per atom

# 9
A plane-wave DFT calculation with meta-GGA SCAN was carried out for KMgBr2 at its PBEsol-relaxed geometry.

Unit cell a=3.8234 b=3.8234 c=7.6530 alpha=90.00 beta=90.00 gamma=90.00
Atoms (fractional coordinates):
Br (0.0000, 0.0000, 0.2626)
Mg (0.5000, 0.5000, 0.5000)
K (0.5000, 0.5000, 0.0000)
Br (0.0000, 0.0000, 0.7374)

Properties
Formation energy without anion corrections: -1.12 eV per atom
Energy relative to the lowest polymorph listed for this composition: 158.7 meV/atom

# 10
A plane-wave DFT calculation with meta-GGA SCAN was carried out for CoBr2Cl at its PBEsol-relaxed geometry.

Unit cell a=3.5288 b=3.5288 c=7.3277 alpha=76.07 beta=76.07 gamma=60.00
Atoms (fractional coordinates):
Br (0.2272, 0.2272, 0.3185)
Co (0.5000, 0.5000, 0.5000)
Cl (0.0000, 0.0000, 0.0000)
Br (0.7728, 0.7728, 0.6815)

Properties
Formation energy without anion corrections: -0.15 eV per atom
Energy relative to the lowest polymorph listed for this composition: 0.0 meV/atom

# 11
A plane-wave DFT calculation with meta-GGA SCAN was carried out for Zn3Au at its PBEsol-relaxed geometry.

Unit cell a=2.8579 b=4.6428 c=4.6428 alpha=107.46 beta=90.00 gamma=90.00
Atoms (fractional coordinates):
Zn (0.5000, 0.5000, 0.0000)
Au (0.0000, 0.0000, 0.0000)
Zn (0.0000, 0.5000, 0.5000)
Zn (0.5000, 0.0000, 0.5000)

Properties
Formation energy: -0.106 eV per atom

# 12
A plane-wave DFT calculation with meta-GGA SCAN was carried out for Ba3TlS at its PBEsol-relaxed geometry.

Unit cell a=6.3893 b=6.3893 c=6.3893 alpha=90.00 beta=90.00 gamma=90.00
Atoms (fractional coordinates):
S (0.5000, 0.5000, 0.5000)
Ba (0.0000, 0.0000, 0.5000)
Ba (0.0000, 0.5000, 0.0000)
Ba (0.5000, 0.0000, 0.0000)
Tl (0.0000, 0.0000, 0.0000)

Properties
Formation energy without anion corrections: -0.35 eV per atom

# 13
A plane-wave DFT calculation with meta-GGA SCAN was carried out for HfNiS3 at its PBEsol-relaxed geometry.

Unit cell a=4.3266 b=4.3266 c=4.3266 alpha=90.00 beta=90.00 gamma=90.00
Atoms (fractional coordinates):
S (0.5000, 0.0000, 0.0000)
Ni (0.0000, 0.0000, 0.0000)
S (0.0000, 0.5000, 0.0000)
Hf (0.5000, 0.5000, 0.5000)
S (0.0000, 0.0000, 0.5000)

Properties
Formation energy without anion corrections: -0.20 eV per atom

# 14
A plane-wave DFT calculation with meta-GGA SCAN was carried out for ZrTaMn2 at its PBEsol-relaxed geometry.

Unit cell a=3.1763 b=4.0028 c=4.6777 alpha=90.00 beta=90.00 gamma=90.00
Atoms (fractional coordinates):
Ta (0.5000, 0.5000, 0.0000)
Mn (0.0000, 0.0000, 0.0000)
Mn (0.5000, 0.0000, 0.5000)
Zr (0.0000, 0.5000, 0.5000)

Properties
Formation energy: 0.152 eV per atom

# 15
A plane-wave DFT calculation with meta-GGA SCAN was carried out for TiClO at its PBEsol-relaxed geometry.

Unit cell a=3.1998 b=3.9831 c=7.8003 alpha=90.00 beta=90.00 gamma=90.00
Atoms (fractional coordinates):
O (0.0000, 0.0000, 0.9218)
Ti (0.5000, 0.0000, 0.0889)
Ti (0.0000, 0.5000, 0.9111)
Cl (0.0000, 0.0000, 0.3170)
O (0.5000, 0.5000, 0.0782)
Cl (0.5000, 0.5000, 0.6830)

Properties
Formation energy without anion corrections: -2.53 eV per atom

# 16
A plane-wave DFT calculation with meta-GGA SCAN was carried out for MgAl2Tl at its PBEsol-relaxed geometry.

Unit cell a=3.1407 b=4.9931 c=5.4984 alpha=97.84 beta=106.60 gamma=90.00
Atoms (fractional coordinates):
Al (0.7559, 0.7611, 0.5118)
Al (0.2441, 0.2389, 0.4882)
Mg (0.5000, 0.0000, 0.0000)
Tl (0.0000, 0.5000, 0.0000)

Properties
Formation energy: 0.120 eV per atom

# 17
A plane-wave DFT calculation with meta-GGA SCAN was carried out for KMgIr2Au at its PBEsol-relaxed geometry.

Unit cell a=4.6156 b=4.6156 c=4.6100 alpha=90.00 beta=90.00 gamma=90.00
Atoms (fractional coordinates):
K (0.0000, 0.0000, 0.0000)
Ir (0.5000, 0.0000, 0.0000)
Au (0.5000, 0.5000, 0.5000)
Mg (0.0000, 0.0000, 0.5000)
Ir (0.0000, 0.5000, 0.0000)

Properties
Formation energy: 2.510 eV per atom

# 18
A plane-wave DFT calculation with meta-GGA SCAN was carried out for CdOs3N at its PBEsol-relaxed geometry.

Unit cell a=4.8662 b=4.8662 c=4.8662 alpha=90.00 beta=90.00 gamma=90.00
Atoms (fractional coordinates):
Os (0.5000, 0.0000, 0.0000)
Os (0.0000, 0.5000, 0.0000)
Cd (0.0000, 0.0000, 0.0000)
N (0.5000, 0.5000, 0.5000)
Os (0.0000, 0.0000, 0.5000)

Properties
Formation energy without anion corrections: 4.49 eV per atom

# 19
A plane-wave DFT calculation with meta-GGA SCAN was carried out for Er3Al2 at its PBEsol-relaxed geometry.

Unit cell a=7.4313 b=8.0541 c=8.0541 alpha=90.00 beta=90.00 gamma=90.00
Atoms (fractional coordinates):
Er (0.7500, 0.5000, 0.0000)
Er (0.0000, 0.6487, 0.6487)
Er (0.2500, 0.5000, 0.0000)
Er (0.7500, 0.0000, 0.5000)
Al (0.1949, 0.8798, 0.8798)
Er (0.0000, 0.2020, 0.7980)
Er (0.0000, 0.7980, 0.2020)
Er (0.5000, 0.2980, 0.2980)
Er (0.5000, 0.7020, 0.7020)
Er (0.5000, 0.8513, 0.1487)
Al (0.1949, 0.1202, 0.1202)
Al (0.8051, 0.1202, 0.1202)
Al (0.6949, 0.6202, 0.3798)
Al (0.3051, 0.3798, 0.6202)
Al (0.8051, 0.8798, 0.8798)
Er (0.0000, 0.3513, 0.3513)
Al (0.3051, 0.6202, 0.3798)
Er (0.5000, 0.1487, 0.8513)
Er (0.2500, 0.0000, 0.5000)
Al (0.6949, 0.3798, 0.6202)

Properties
Formation energy: -0.347 eV per atom

# 20
A plane-wave DFT calculation with meta-GGA SCAN was carried out for TlFeSn2 at its PBEsol-relaxed geometry.

Unit cell a=5.0233 b=5.0233 c=5.0233 alpha=60.00 beta=60.00 gamma=60.00
Atoms (fractional coordinates):
Fe (0.0000, 0.0000, 0.0000)
Sn (0.2500, 0.2500, 0.2500)
Tl (0.5000, 0.5000, 0.5000)
Sn (0.7500, 0.7500, 0.7500)

Properties
Formation energy: 0.554 eV per atom

Total DFT energy (no corrections) for the records above, in order: -32.74, -23.69, -27.21, -48.24, -25.78, -8.74, -23.48, -15.68, -14.17, -16.20, -27.53, -40.47, -21.74, -33.30, -12.61, -23.09, -42.42, -46.58, -33.65, -40.03 eV/atom